[1]
The following is a PBE calculation of a geometry-optimized TlV3S structure, from Alexandria.

Summary:
Energy   -0.18451 Ha/atom
Raw formation energy   1.75 eV per atom
Space-group type   Pm-3m (221)
Offset from the most stable computed form   1.646 eV/atom

Lattice parameters (Å, degrees): 5.0769 5.0769 5.0769 90.00 90.00 90.00
Last column: nearest neighbours and their distance in Å.
Fractional positions:
Tl: 0.0000 0.0000 0.0000  6 V 2.54
S: 0.5000 0.5000 0.5000  12 V 3.59
V: 0.0000 0.5000 0.0000  2 Tl 2.54
V: 0.0000 0.0000 0.5000  2 Tl 2.54
V: 0.5000 0.0000 0.0000  2 Tl 2.54

=====

[2]
The following is a PBE calculation of a geometry-optimized TlVS2 structure, from Alexandria.

Summary:
Energy   -0.20583 Ha/atom
Raw formation energy   -0.67 eV per atom
Space-group type   P2_1/m (11)

Lattice parameters (Å, degrees): 3.2381 6.7332 8.5958 108.22 90.00 90.00
Last column: nearest neighbours and their distance in Å.
Fractional positions:
Tl: 0.7500 0.1814 0.3213  7 S 3.18-3.56, 2 Tl 3.24
Tl: 0.2500 0.8186 0.6787  7 S 3.18-3.56, 2 Tl 3.24
V: 0.7500 0.3961 0.8719  5 S 2.30-2.36
V: 0.2500 0.6039 0.1281  5 S 2.30-2.36
S: 0.2500 0.2486 0.0033  3 V 2.30-2.36
S: 0.7500 0.7514 0.9967  3 V 2.30-2.36
S: 0.2500 0.3405 0.6631  2 V 2.36
S: 0.7500 0.6595 0.3369  2 V 2.36

=====

[3]
The following is a PBE calculation of a geometry-optimized TlVS4 structure, from Alexandria.

Summary:
Energy   -0.18748 Ha/atom
Raw formation energy   -0.44 eV per atom
Space-group type   C2/c (15)

Lattice parameters (Å, degrees): 5.7234 8.0554 7.5547 57.78 92.80 95.26
Last column: nearest neighbours and their distance in Å.
Fractional positions:
Tl: 0.7500 0.3637 0.2726  10 S 3.24-3.62
Tl: 0.2500 0.6363 0.7274  10 S 3.24-3.62
V: 0.2500 0.9902 0.0196  6 S 2.31-2.37
V: 0.7500 0.0098 0.9804  6 S 2.31-2.37
S: 0.7508 0.3502 0.8520  1 S 2.12, 1 V 2.37
S: 0.0170 0.0317 0.7423  1 S 2.12, 2 V 2.31-2.34
S: 0.7492 0.7978 0.8520  1 S 2.12, 1 V 2.37
S: 0.4830 0.2260 0.7423  1 S 2.12, 2 V 2.31-2.34
S: 0.5170 0.7740 0.2577  1 S 2.12, 2 V 2.31-2.34
S: 0.2508 0.2022 0.1480  1 S 2.12, 1 V 2.37
S: 0.9830 0.9683 0.2577  1 S 2.12, 2 V 2.31-2.34
S: 0.2492 0.6498 0.1480  1 S 2.12, 1 V 2.37

=====

[4]
The following is a PBE calculation of a geometry-optimized TlVS2 structure, from Alexandria.

Summary:
Energy   -0.17881 Ha/atom
Raw formation energy   0.07 eV per atom
Space-group type   Fm-3m (225)

Lattice parameters (Å, degrees): 4.7403 4.7403 4.7403 60.00 60.00 60.00
Last column: nearest neighbours and their distance in Å.
Fractional positions:
Tl: 0.5000 0.5000 0.5000  8 S 2.90
S: 0.2500 0.2500 0.2500  4 Tl 2.90, 4 V 2.90
S: 0.7500 0.7500 0.7500  4 V 2.90, 4 Tl 2.90
V: 0.0000 0.0000 0.0000  8 S 2.90

=====

[5]
The following is a PBE calculation of a geometry-optimized Tl2VS3 structure, from Alexandria.

Summary:
Energy   -0.18187 Ha/atom
Raw formation energy   -0.58 eV per atom
Space-group type   C2/c (15)

Lattice parameters (Å, degrees): 6.7647 7.4242 15.1855 89.07 87.96 62.90
Last column: nearest neighbours and their distance in Å.
Fractional positions:
Tl: 0.5837 0.3916 0.3470  6 S 3.15-3.51
Tl: 0.0247 0.3916 0.1530  6 S 3.15-3.51
Tl: 0.4163 0.6084 0.6530  6 S 3.15-3.51
Tl: 0.9753 0.6084 0.8470  6 S 3.15-3.51
Tl: 0.3535 0.7902 0.0578  3 S 3.06-3.19
Tl: 0.8564 0.7902 0.4422  3 S 3.06-3.19
Tl: 0.6465 0.2098 0.9422  3 S 3.06-3.19
Tl: 0.1436 0.2098 0.5578  3 S 3.06-3.19
V: 0.7417 0.9860 0.1688  4 S 2.17-2.25
V: 0.2723 0.9860 0.3312  4 S 2.17-2.25
V: 0.2583 0.0140 0.8312  4 S 2.17-2.25
V: 0.7277 0.0140 0.6688  4 S 2.17-2.25
S: 0.5889 0.8222 0.2500  2 V 2.25
S: 0.4111 0.1778 0.7500  2 V 2.25
S: 0.5270 0.3019 0.1386  1 V 2.17
S: 0.1712 0.3019 0.3614  1 V 2.17
S: 0.4730 0.6981 0.8614  1 V 2.17
S: 0.8288 0.6981 0.6386  1 V 2.17
S: 0.6874 0.1843 0.5464  1 V 2.19
S: 0.1284 0.1843 0.9536  1 V 2.19
S: 0.3126 0.8157 0.4536  1 V 2.19
S: 0.8716 0.8157 0.0464  1 V 2.19
S: 0.0181 0.9638 0.2500  2 V 2.22
S: 0.9819 0.0362 0.7500  2 V 2.22

=====

[6]
The following is a PBE calculation of a geometry-optimized Tl2VS8 structure, from Alexandria.

Summary:
Energy   -0.16084 Ha/atom
Raw formation energy   -0.12 eV per atom
Space-group type   P-1 (2)

Lattice parameters (Å, degrees): 10.9263 4.5302 9.4141 75.24 64.73 118.90
Last column: nearest neighbours and their distance in Å.
Fractional positions:
Tl: 0.4042 0.3107 0.2841  3 S 3.01-3.09
Tl: 0.5958 0.6893 0.7159  3 S 3.01-3.09
V: 0.0000 0.0000 0.0000  8 S 2.38-2.53
S: 0.7426 0.5522 0.3362  1 S 2.01
S: 0.9782 0.9343 0.2839  1 S 2.01
S: 0.2574 0.4479 0.6638  1 S 2.01
S: 0.1073 0.6315 0.0028  1 S 2.09
S: 0.0218 0.0657 0.7161  1 S 2.01
S: 0.6362 0.1377 0.9036  1 S 2.09
S: 0.3638 0.8623 0.0964  1 S 2.09
S: 0.8927 0.3685 0.9972  1 S 2.09

=====

[7]
The following is a PBE calculation of a geometry-optimized TlV3S structure, from Alexandria.

Summary:
Energy   -0.24499 Ha/atom
Raw formation energy   0.10 eV per atom
Space-group type   Pm-3m (221)
Offset from the most stable computed form   0.000 eV/atom

Lattice parameters (Å, degrees): 4.3653 4.3653 4.3653 90.00 90.00 90.00
Last column: nearest neighbours and their distance in Å.
Fractional positions:
Tl: 0.5000 0.5000 0.5000  12 V 3.09
S: 0.0000 0.0000 0.0000  6 V 2.18
V: 0.0000 0.5000 0.0000  2 S 2.18
V: 0.0000 0.0000 0.5000  2 S 2.18
V: 0.5000 0.0000 0.0000  2 S 2.18

=====

[8]
The following is a PBE calculation of a geometry-optimized TlVW2S structure, from Alexandria.

Summary:
Energy   -0.25397 Ha/atom
Raw formation energy   1.39 eV per atom
Space-group type   P4/mmm (123)

Lattice parameters (Å, degrees): 4.3697 5.2843 4.3697 90.00 90.00 90.00
Last column: nearest neighbours and their distance in Å.
Fractional positions:
Tl: 0.0000 0.5000 0.0000  2 S 2.64
S: 0.0000 0.0000 0.0000  4 W 2.18
W: 0.0000 0.0000 0.5000  2 S 2.18
W: 0.5000 0.0000 0.0000  2 S 2.18
V: 0.5000 0.5000 0.5000  4 Tl 3.09, 8 W 3.43

=====

Q: Which of these has the highest raw formation energy?
A: number 1

=====

Q: What is the raw formation energy in the fourth record?
A: 0.07 eV per atom

=====

Q: The highest energy belongs to which entry?
A: Tl2VS8

=====

Q: raw formation energy of number 4 (TlVS2)?
A: 0.07 eV per atom